[1]
# Ca2BiWO6 PBE with a Hubbard U optimized geometry
data_Ca2BiWO6
_chemical_formula_sum 'Ca2 Bi1 W1 O6'
_space_group_name_H-M_alt 'P 1'
_space_group_IT_number 1
_cell_length_a 5.720
_cell_length_b 5.720
_cell_length_c 5.196
_cell_angle_alpha 90.00
_cell_angle_beta 90.00
_cell_angle_gamma 90.00
loop_
_space_group_symop_operation_xyz
'x,y,z'
loop_
_atom_site_label
_atom_site_type_symbol
_atom_site_fract_x
_atom_site_fract_y
_atom_site_fract_z
_atom_site_occupancy
Ca1 Ca 0.000 0.500 0.000 1
Ca2 Ca 0.500 0.000 0.000 1
Bi1 Bi 0.000 0.000 0.602 1
W1 W 0.500 0.500 0.630 1
O1 O 0.000 0.000 0.191 1
O2 O 0.270 0.270 0.769 1
O3 O 0.270 0.730 0.769 1
O4 O 0.500 0.500 0.280 1
O5 O 0.730 0.270 0.769 1
O6 O 0.730 0.730 0.769 1
# Size of the total moment, μB/f.u.: 1.0
# Crystal system: tetragonal
# Offset from the most stable computed form, meV/atom: 154.3



[2]
# CaBi2WO8 PBE with a Hubbard U optimized geometry
data_CaBi2WO8
_chemical_formula_sum 'Ca1 Bi2 W1 O8'
_space_group_name_H-M_alt 'P 1'
_space_group_IT_number 1
_cell_length_a 5.068
_cell_length_b 6.900
_cell_length_c 5.072
_cell_angle_alpha 90.00
_cell_angle_beta 90.55
_cell_angle_gamma 90.00
loop_
_space_group_symop_operation_xyz
'x,y,z'
loop_
_atom_site_label
_atom_site_type_symbol
_atom_site_fract_x
_atom_site_fract_y
_atom_site_fract_z
_atom_site_occupancy
Ca1 Ca 0.000 0.000 0.000 1
Bi1 Bi 0.500 0.251 0.500 1
Bi2 Bi 0.500 0.749 0.500 1
W1 W 0.000 0.500 0.000 1
O1 O 0.184 0.292 0.182 1
O2 O 0.184 0.708 0.182 1
O3 O 0.278 0.500 0.721 1
O4 O 0.315 0.000 0.683 1
O5 O 0.685 0.000 0.317 1
O6 O 0.722 0.500 0.279 1
O7 O 0.816 0.292 0.818 1
O8 O 0.816 0.708 0.818 1
# Size of the total moment, μB/f.u.: 0.0
# Crystal system: monoclinic
# Final energy, eV/atom: -6.4038



[3]
# Ca2BiWO6 PBE with a Hubbard U optimized geometry
data_Ca2BiWO6
_chemical_formula_sum 'Ca2 Bi1 W1 O6'
_space_group_name_H-M_alt 'P 1'
_space_group_IT_number 1
_cell_length_a 6.018
_cell_length_b 6.018
_cell_length_c 6.018
_cell_angle_alpha 60.00
_cell_angle_beta 60.00
_cell_angle_gamma 60.00
loop_
_space_group_symop_operation_xyz
'x,y,z'
loop_
_atom_site_label
_atom_site_type_symbol
_atom_site_fract_x
_atom_site_fract_y
_atom_site_fract_z
_atom_site_occupancy
Ca1 Ca 0.250 0.250 0.250 1
Ca2 Ca 0.750 0.750 0.750 1
Bi1 Bi 0.000 0.000 0.000 1
W1 W 0.500 0.500 0.500 1
O1 O 0.268 0.268 0.732 1
O2 O 0.268 0.732 0.268 1
O3 O 0.268 0.732 0.732 1
O4 O 0.732 0.268 0.268 1
O5 O 0.732 0.268 0.732 1
O6 O 0.732 0.732 0.268 1
# Size of the total moment, μB/f.u.: 1.0
# Crystal system: cubic
# Offset from the most stable computed form, meV/atom: 362.4



[4]
# CaBiWO6 PBE with a Hubbard U optimized geometry
data_CaBiWO6
_chemical_formula_sum 'Ca2 Bi2 W2 O12'
_space_group_name_H-M_alt 'P 1'
_space_group_IT_number 1
_cell_length_a 5.595
_cell_length_b 5.595
_cell_length_c 9.882
_cell_angle_alpha 90.00
_cell_angle_beta 90.00
_cell_angle_gamma 120.00
loop_
_space_group_symop_operation_xyz
'x,y,z'
loop_
_atom_site_label
_atom_site_type_symbol
_atom_site_fract_x
_atom_site_fract_y
_atom_site_fract_z
_atom_site_occupancy
Ca1 Ca 0.000 0.000 0.000 1
Ca2 Ca 0.000 0.000 0.500 1
Bi1 Bi 0.333 0.667 0.250 1
Bi2 Bi 0.667 0.333 0.750 1
W1 W 0.333 0.667 0.750 1
W2 W 0.667 0.333 0.250 1
O1 O 0.039 0.382 0.637 1
O2 O 0.039 0.657 0.863 1
O3 O 0.343 0.382 0.863 1
O4 O 0.343 0.961 0.637 1
O5 O 0.382 0.039 0.137 1
O6 O 0.382 0.343 0.363 1
O7 O 0.618 0.657 0.637 1
O8 O 0.618 0.961 0.863 1
O9 O 0.657 0.039 0.363 1
O10 O 0.657 0.618 0.137 1
O11 O 0.961 0.343 0.137 1
O12 O 0.961 0.618 0.363 1
# Size of the total moment, μB/f.u.: 0.3
# Crystal system: trigonal
# Final energy, eV/atom: -6.6633



- Number 1 is which compound?
  Ca2BiWO6